No. 1
Below is a relaxed Th3ScTl4 crystal, with properties calculated at the PBE level. Values from VASP.

Geometry as Quantum ESPRESSO input:
```
&SYSTEM
  ibrav = 0, nat = 8, ntyp = 3
/
ATOMIC_SPECIES
Th 232.04 Th.upf
Sc 44.96 Sc.upf
Tl 204.38 Tl.upf
CELL_PARAMETERS angstrom
3.552 0.000 0.000
0.000 3.552 0.000
0.000 0.000 17.631
ATOMIC_POSITIONS crystal
Th 0.000 0.000 0.000
Th 0.000 0.000 0.263
Th 0.000 0.000 0.737
Sc 0.000 0.000 0.500
Tl 0.500 0.500 0.131
Tl 0.500 0.500 0.392
Tl 0.500 0.500 0.608
Tl 0.500 0.500 0.869
```

DFT formation energy: -0.172 eV per atom
V: 222 Å³ per cell
Space group: P4/mmm
Polymorph energy (0 for the lowest one): 0.00 eV/f.u.
Mass density: 11637 kg/m3

=====

No. 2
Below is a relaxed Mo3PH crystal, with properties calculated at the PBE level. Values from VASP.

Geometry as Quantum ESPRESSO input:
```
&SYSTEM
  ibrav = 0, nat = 10, ntyp = 3
/
ATOMIC_SPECIES
Mo 95.94 Mo.upf
P 30.97 P.upf
H 1.01 H.upf
CELL_PARAMETERS angstrom
3.150 0.000 0.000
-0.003 4.801 0.000
-1.571 -2.241 8.389
ATOMIC_POSITIONS crystal
Mo 0.045 0.288 0.089
Mo 0.222 0.208 0.443
Mo 0.406 0.160 0.812
Mo 0.594 0.840 0.188
Mo 0.778 0.792 0.557
Mo 0.955 0.712 0.911
P 0.171 0.637 0.343
P 0.829 0.363 0.657
H 0.401 0.769 0.802
H 0.599 0.231 0.198
```

V: 127 Å³ per cell
Space group: P-1
Polymorph energy (0 for the lowest one): 0.00 eV/f.u.
Mass density: 8373 kg/m3

=====

No. 3
Below is a relaxed LaPd3Pb crystal, with properties calculated at the PBE level. Values from VASP.

Geometry as Quantum ESPRESSO input:
```
&SYSTEM
  ibrav = 0, nat = 5, ntyp = 3
/
ATOMIC_SPECIES
La 138.91 La.upf
Pd 106.42 Pd.upf
Pb 207.20 Pb.upf
CELL_PARAMETERS angstrom
5.209 0.000 0.000
0.000 5.209 0.000
0.000 0.000 5.209
ATOMIC_POSITIONS crystal
La 0.000 0.000 0.000
Pd 0.000 0.000 0.500
Pd 0.000 0.500 0.000
Pd 0.500 0.000 0.000
Pb 0.500 0.500 0.500
```

DFT formation energy: 0.345 eV per atom
V: 141 Å³ per cell
Space group: Pm-3m
Polymorph energy (0 for the lowest one): 3.64 eV/f.u.
Mass density: 7819 kg/m3